A plane-wave DFT calculation with GGA-PBE was carried out for crystalline SnGeRh3 at its relaxed geometry.

Cell lengths 6.391, 6.391, 4.759 Å; angles 90.00, 90.00, 120.00 degrees
Atoms (fractional coordinates):
Sn 0.333 0.667 0.250
Sn 0.667 0.333 0.750
Ge 0.000 0.000 0.000
Ge 0.000 0.000 0.500
Rh 0.192 0.385 0.750
Rh 0.192 0.808 0.750
Rh 0.385 0.192 0.250
Rh 0.615 0.808 0.750
Rh 0.808 0.192 0.250
Rh 0.808 0.615 0.250

Values from the calculation:
total magnetization	0.0	μB/cell
polymorph energy (0 for the lowest one)	93	kJ/mol of formula units
V	168.43	Å³/cell
mass density	9.86	g/cm³
Fermi-level density of states	0.5658	states/eV per atom